(1)
# Zr3CoRu | Alexandria via LeMat-Bulk | PBEsol | optimized geometry
data_Zr3CoRu
_cell_length_a 4.8709
_cell_length_b 4.8709
_cell_length_c 4.8709
_cell_angle_alpha 90.00
_cell_angle_beta 90.00
_cell_angle_gamma 90.00
_symmetry_space_group_name_H-M 'P 1'
_symmetry_Int_Tables_number 1
loop_
_symmetry_equiv_pos_as_xyz
'x,y,z'
loop_
_atom_site_label
_atom_site_type_symbol
_atom_site_fract_x
_atom_site_fract_y
_atom_site_fract_z
_atom_site_occupancy
Zr1 Zr 0.0000 0.0000 0.5000 1
Zr2 Zr 0.0000 0.5000 0.0000 1
Zr3 Zr 0.5000 0.0000 0.0000 1
Co1 Co 0.5000 0.5000 0.5000 1
Ru1 Ru 0.0000 0.0000 0.0000 1
# Calculated density   6.23 g/cm³
# Energy of formation from the pure elements   77 kJ/mol of atoms
# SG   Pm-3m, No. 221



(2)
# Sn2Ge2Bi | Alexandria via LeMat-Bulk | PBEsol | optimized geometry
data_Sn2Ge2Bi
_cell_length_a 4.3861
_cell_length_b 4.3861
_cell_length_c 13.1328
_cell_angle_alpha 90.00
_cell_angle_beta 90.00
_cell_angle_gamma 90.00
_symmetry_space_group_name_H-M 'P 1'
_symmetry_Int_Tables_number 1
loop_
_symmetry_equiv_pos_as_xyz
'x,y,z'
loop_
_atom_site_label
_atom_site_type_symbol
_atom_site_fract_x
_atom_site_fract_y
_atom_site_fract_z
_atom_site_occupancy
Sn1 Sn 0.0000 0.5000 0.2500 1
Sn2 Sn 0.0000 0.5000 0.7500 1
Sn3 Sn 0.5000 0.0000 0.2500 1
Sn4 Sn 0.5000 0.0000 0.7500 1
Ge1 Ge 0.0000 0.0000 0.0970 1
Ge2 Ge 0.0000 0.0000 0.9030 1
Ge3 Ge 0.5000 0.5000 0.4030 1
Ge4 Ge 0.5000 0.5000 0.5970 1
Bi1 Bi 0.0000 0.0000 0.5000 1
Bi2 Bi 0.5000 0.5000 0.0000 1
# Calculated density   7.78 g/cm³
# Energy of formation from the pure elements   22 kJ/mol of atoms
# SG   I4/mmm, No. 139



(3)
# NaMg3Os | Alexandria via LeMat-Bulk | PBEsol | optimized geometry
data_NaMg3Os
_cell_length_a 4.6731
_cell_length_b 4.6731
_cell_length_c 4.6731
_cell_angle_alpha 90.00
_cell_angle_beta 90.00
_cell_angle_gamma 90.00
_symmetry_space_group_name_H-M 'P 1'
_symmetry_Int_Tables_number 1
loop_
_symmetry_equiv_pos_as_xyz
'x,y,z'
loop_
_atom_site_label
_atom_site_type_symbol
_atom_site_fract_x
_atom_site_fract_y
_atom_site_fract_z
_atom_site_occupancy
Na1 Na 0.0000 0.0000 0.0000 1
Mg1 Mg 0.0000 0.0000 0.5000 1
Mg2 Mg 0.0000 0.5000 0.0000 1
Mg3 Mg 0.5000 0.0000 0.0000 1
Os1 Os 0.5000 0.5000 0.5000 1
# Calculated density   4.66 g/cm³
# Energy of formation from the pure elements   153 kJ/mol of atoms
# SG   Pm-3m, No. 221



(4)
# NbTe2 | Alexandria via LeMat-Bulk | PBEsol | optimized geometry
data_NbTe2
_cell_length_a 3.6321
_cell_length_b 3.6321
_cell_length_c 6.6516
_cell_angle_alpha 90.00
_cell_angle_beta 90.00
_cell_angle_gamma 120.00
_symmetry_space_group_name_H-M 'P 1'
_symmetry_Int_Tables_number 1
loop_
_symmetry_equiv_pos_as_xyz
'x,y,z'
loop_
_atom_site_label
_atom_site_type_symbol
_atom_site_fract_x
_atom_site_fract_y
_atom_site_fract_z
_atom_site_occupancy
Nb1 Nb 0.0000 0.0000 0.0000 1
Te1 Te 0.3333 0.6667 0.7243 1
Te2 Te 0.6667 0.3333 0.2757 1
# Calculated density   7.61 g/cm³
# Formation energy from raw total energies   -0.44 eV/atom
# SG   P-3m1, No. 164



(5)
# MgSc2Tc | Alexandria via LeMat-Bulk | PBEsol | optimized geometry
data_MgSc2Tc
_cell_length_a 3.1900
_cell_length_b 3.1900
_cell_length_c 27.6964
_cell_angle_alpha 90.00
_cell_angle_beta 90.00
_cell_angle_gamma 120.00
_symmetry_space_group_name_H-M 'P 1'
_symmetry_Int_Tables_number 1
loop_
_symmetry_equiv_pos_as_xyz
'x,y,z'
loop_
_atom_site_label
_atom_site_type_symbol
_atom_site_fract_x
_atom_site_fract_y
_atom_site_fract_z
_atom_site_occupancy
Mg1 Mg 0.0000 0.0000 0.0000 1
Mg2 Mg 0.3333 0.6667 0.6667 1
Mg3 Mg 0.6667 0.3333 0.3333 1
Sc1 Sc 0.0000 0.0000 0.2353 1
Sc2 Sc 0.0000 0.0000 0.7647 1
Sc3 Sc 0.3333 0.6667 0.4314 1
Sc4 Sc 0.3333 0.6667 0.9020 1
Sc5 Sc 0.6667 0.3333 0.0980 1
Sc6 Sc 0.6667 0.3333 0.5686 1
Tc1 Tc 0.0000 0.0000 0.5000 1
Tc2 Tc 0.3333 0.6667 0.1667 1
Tc3 Tc 0.6667 0.3333 0.8333 1
# Calculated density   4.33 g/cm³
# Energy of formation from the pure elements   -1 kJ/mol of atoms
# SG   R-3m, No. 166



(6)
# MgScHgMo2 | Alexandria via LeMat-Bulk | PBEsol | optimized geometry
data_MgScHgMo2
_cell_length_a 4.6314
_cell_length_b 4.6314
_cell_length_c 4.7442
_cell_angle_alpha 90.00
_cell_angle_beta 90.00
_cell_angle_gamma 90.00
_symmetry_space_group_name_H-M 'P 1'
_symmetry_Int_Tables_number 1
loop_
_symmetry_equiv_pos_as_xyz
'x,y,z'
loop_
_atom_site_label
_atom_site_type_symbol
_atom_site_fract_x
_atom_site_fract_y
_atom_site_fract_z
_atom_site_occupancy
Mg1 Mg 0.0000 0.0000 0.0000 1
Sc1 Sc 0.5000 0.5000 0.5000 1
Hg1 Hg 0.0000 0.0000 0.5000 1
Mo1 Mo 0.0000 0.5000 0.0000 1
Mo2 Mo 0.5000 0.0000 0.0000 1
# Calculated density   7.53 g/cm³
# Energy of formation from the pure elements   144 kJ/mol of atoms
# SG   P4/mmm, No. 123